1.
# Ac8Ru3Br4F (PBE, optimized geometry)
# - electronic total energy (eV/atom) = -5.432
# - spin magnetization (μB per atom) = 0.000
# - DOS at the Fermi energy (states/eV per cell) = 18.28
data_Ac8Ru3Br4F
_cell_length_a 8.5455
_cell_length_b 8.5455
_cell_length_c 25.0182
_cell_angle_alpha 90.00
_cell_angle_beta 90.00
_cell_angle_gamma 120.00
_symmetry_space_group_name_H-M 'R -3 m'
_symmetry_Int_Tables_number 166
_symmetry_space_group_name_Hall '-R 3 2"'
loop_
_atom_site_label
_atom_site_type_symbol
_atom_site_fract_x
_atom_site_fract_y
_atom_site_fract_z
Ac1 Ac 0.0000 0.0000 0.2325
Ac2 Ac 0.0073 0.5037 0.7688
Ru1 Ru 0.0000 0.5000 0.5000
Br1 Br 0.0000 0.0000 0.0000
Br2 Br 0.0000 0.5000 0.0000
F1 F 0.0000 0.0000 0.5000

***

2.
# CsAlSnW2 (PBE, optimized geometry)
# - ΔE_f (meV/atom) = 3304
# - spin magnetization (μB per atom) = 0.566
# - DOS at the Fermi energy (states/eV per cell) = 5.79
data_CsAlSnW2
_cell_length_a 5.098
_cell_length_b 5.098
_cell_length_c 5.406
_cell_angle_alpha 90.00
_cell_angle_beta 90.00
_cell_angle_gamma 90.00
_symmetry_space_group_name_H-M 'P 4/m m m'
_symmetry_Int_Tables_number 123
_symmetry_space_group_name_Hall '-P 4 2'
loop_
_atom_site_label
_atom_site_type_symbol
_atom_site_fract_x
_atom_site_fract_y
_atom_site_fract_z
Cs1 Cs 0.000 0.000 0.000
Al1 Al 0.000 0.000 0.500
Sn1 Sn 0.500 0.500 0.500
W1 W 0.000 0.500 0.000

***

3.
# NiIr2Ru (PBE, optimized geometry)
# - ΔE_f (meV/atom) = 67
# - spin magnetization (μB per atom) = 0.001
# - E above lowest polymorph (eV/atom) = 0.077
# - DOS at the Fermi energy (states/eV per cell) = 11.98
data_NiIr2Ru
_cell_length_a 5.360
_cell_length_b 7.521
_cell_length_c 2.707
_cell_angle_alpha 90.00
_cell_angle_beta 90.00
_cell_angle_gamma 90.00
_symmetry_space_group_name_H-M 'C m m m'
_symmetry_Int_Tables_number 65
_symmetry_space_group_name_Hall '-C 2 2'
loop_
_atom_site_label
_atom_site_type_symbol
_atom_site_fract_x
_atom_site_fract_y
_atom_site_fract_z
Ni1 Ni 0.000 0.000 0.000
Ir1 Ir 0.250 0.250 0.500
Ru1 Ru 0.000 0.500 0.000

***

4.
# ErSc3Te6 (PBE, optimized geometry)
# - electronic total energy (eV/atom) = -5.461
# - spin magnetization (μB per atom) = 0.000
# - DOS at the Fermi energy (states/eV per cell) = 0.37
data_ErSc3Te6
_cell_length_a 12.053
_cell_length_b 4.182
_cell_length_c 12.310
_cell_angle_alpha 90.00
_cell_angle_beta 109.49
_cell_angle_gamma 90.00
_symmetry_space_group_name_H-M 'P 1 21/m 1'
_symmetry_Int_Tables_number 11
loop_
_symmetry_equiv_pos_as_xyz
'x,y,z'
'-x,-y,-z'
'-x,y+1/2,-z'
'x,-y+1/2,z'
loop_
_atom_site_label
_atom_site_type_symbol
_atom_site_fract_x
_atom_site_fract_y
_atom_site_fract_z
Er1 Er 0.047 0.250 0.199
Sc1 Sc 0.156 0.250 0.582
Sc2 Sc 0.316 0.750 0.997
Sc3 Sc 0.435 0.250 0.338
Te1 Te 0.083 0.750 0.405
Te2 Te 0.115 0.250 0.968
Te3 Te 0.197 0.750 0.749
Te4 Te 0.260 0.750 0.224
Te5 Te 0.391 0.250 0.561
Te6 Te 0.479 0.250 0.117

***

5.
# TbHo2Th3 (PBE, optimized geometry)
# - ΔE_f (meV/atom) = 30
# - spin magnetization (μB per atom) = 0.000
# - E above lowest polymorph (eV/atom) = 0.000
# - DOS at the Fermi energy (states/eV per cell) = 16.76
data_TbHo2Th3
_cell_length_a 10.049
_cell_length_b 3.567
_cell_length_c 10.665
_cell_angle_alpha 90.00
_cell_angle_beta 90.54
_cell_angle_gamma 90.00
_symmetry_space_group_name_H-M 'P 1 21/m 1'
_symmetry_Int_Tables_number 11
loop_
_symmetry_equiv_pos_as_xyz
'x,y,z'
'-x,-y,-z'
'-x,y+1/2,-z'
'x,-y+1/2,z'
loop_
_atom_site_label
_atom_site_type_symbol
_atom_site_fract_x
_atom_site_fract_y
_atom_site_fract_z
Tb1 Tb 0.123 0.250 0.247
Ho1 Ho 0.132 0.250 0.586
Ho2 Ho 0.375 0.750 0.083
Th1 Th 0.126 0.250 0.917
Th2 Th 0.374 0.750 0.749
Th3 Th 0.379 0.750 0.418

***

6.
# Tb3Co2P4 (PBE, optimized geometry)
# - ΔE_f (meV/atom) = -1100
# - spin magnetization (μB per atom) = 0.000
# - DOS at the Fermi energy (states/eV per cell) = 12.59
data_Tb3Co2P4
_cell_length_a 11.145
_cell_length_b 3.918
_cell_length_c 8.154
_cell_angle_alpha 90.00
_cell_angle_beta 115.79
_cell_angle_gamma 90.00
_symmetry_space_group_name_H-M 'C 1 2/m 1'
_symmetry_Int_Tables_number 12
loop_
_symmetry_equiv_pos_as_xyz
'x,y,z'
'-x,-y,-z'
'-x,y,-z'
'x,-y,z'
'x+1/2,y+1/2,z'
'-x+1/2,-y+1/2,-z'
'-x+1/2,y+1/2,-z'
'x+1/2,-y+1/2,z'
loop_
_atom_site_label
_atom_site_type_symbol
_atom_site_fract_x
_atom_site_fract_y
_atom_site_fract_z
Tb1 Tb 0.000 0.000 0.000
Tb2 Tb 0.128 0.500 0.715
Co1 Co 0.188 0.500 0.383
P1 P 0.099 0.000 0.400
P2 P 0.192 0.500 0.108

***

7.
# Tl2HgIr (PBE, optimized geometry)
# - ΔE_f (meV/atom) = 282
# - spin magnetization (μB per atom) = 0.000
# - E above lowest polymorph (eV/atom) = 0.035
# - DOS at the Fermi energy (states/eV per cell) = 3.35
data_Tl2HgIr
_cell_length_a 14.441
_cell_length_b 3.093
_cell_length_c 4.671
_cell_angle_alpha 90.00
_cell_angle_beta 108.79
_cell_angle_gamma 90.00
_symmetry_space_group_name_H-M 'C 1 m 1'
_symmetry_Int_Tables_number 8
loop_
_symmetry_equiv_pos_as_xyz
'x,y,z'
'x,-y,z'
'x+1/2,y+1/2,z'
'x+1/2,-y+1/2,z'
loop_
_atom_site_label
_atom_site_type_symbol
_atom_site_fract_x
_atom_site_fract_y
_atom_site_fract_z
Tl1 Tl 0.000 0.000 0.000
Tl2 Tl 0.190 0.000 0.689
Hg1 Hg 0.370 0.000 0.371
Ir1 Ir 0.189 0.500 0.189

***

8.
# TbDy6Cd5 (PBE, optimized geometry)
# - ΔE_f (meV/atom) = -212
# - spin magnetization (μB per atom) = 0.070
# - DOS at the Fermi energy (states/eV per cell) = 30.91
data_TbDy6Cd5
_cell_length_a 5.239
_cell_length_b 7.818
_cell_length_c 15.900
_cell_angle_alpha 90.00
_cell_angle_beta 90.00
_cell_angle_gamma 90.00
_symmetry_space_group_name_H-M 'I m m m'
_symmetry_Int_Tables_number 71
_symmetry_space_group_name_Hall '-I 2 2'
loop_
_atom_site_label
_atom_site_type_symbol
_atom_site_fract_x
_atom_site_fract_y
_atom_site_fract_z
Tb1 Tb 0.000 0.000 0.000
Dy1 Dy 0.000 0.229 0.500
Dy2 Dy 0.000 0.256 0.171
Cd1 Cd 0.000 0.000 0.330
Cd2 Cd 0.000 0.500 0.000
Cd3 Cd 0.000 0.500 0.347

***

Which value of DOS at the Fermi energy does entry 4 give?
0.37 states/eV per cell

***

What is the spin magnetization in the third record?
0.001 μB per atom